No. 1
A plane-wave DFT calculation with GGA-PBEsol was carried out for a relaxed structure of AlPtRh.

Cell: 4.0350 4.0350 4.0350 Å, 60.00 60.00 60.00°
Positions (direct):
Al  0.0000  0.0000  0.0000
Pt  0.2500  0.2500  0.2500
Rh  0.7500  0.7500  0.7500

Summary:
For the total moment, the calculation gives 0.00 μB per formula unit. The formation energy comes out at -0.532 eV/atom. For the energy above the most stable polymorph in this dataset, the calculation gives 185 meV/atom. Its crystal system is cubic. The density of states at the Fermi level is 1.5 states/eV/cell.

---

No. 2
A plane-wave DFT calculation with GGA-PBEsol was carried out for a relaxed structure of InTcAs3.

Cell: 4.8013 4.8013 4.8013 Å, 90.00 90.00 90.00°
Positions (direct):
In  0.0000  0.0000  0.0000
Tc  0.5000  0.5000  0.5000
As  0.0000  0.5000  0.5000
As  0.5000  0.0000  0.5000
As  0.5000  0.5000  0.0000

Summary:
For the total moment, the calculation gives 0.00 μB per formula unit. The formation energy comes out at 0.384 eV/atom. Its crystal system is cubic. The density of states at the Fermi level is 4.6 states/eV/cell.

---

No. 3
A plane-wave DFT calculation with GGA-PBEsol was carried out for a relaxed structure of KTmP2O7.

Cell: 7.5836 10.8226 8.5875 Å, 90.00 107.51 90.00°
Positions (direct):
K  0.1701  0.1798  0.0714
K  0.1701  0.3202  0.5714
K  0.8299  0.6798  0.4286
K  0.8299  0.8202  0.9286
Tm  0.2334  0.5967  0.2538
Tm  0.2334  0.9033  0.7538
Tm  0.7666  0.0967  0.2462
Tm  0.7666  0.4033  0.7462
P  0.1299  0.6015  0.8144
P  0.1299  0.8985  0.3144
P  0.4436  0.6423  0.6939
P  0.4436  0.8577  0.1939
P  0.5564  0.1423  0.8061
P  0.5564  0.3577  0.3061
P  0.8701  0.1015  0.6856
P  0.8701  0.3985  0.1856
O  0.0100  0.0008  0.2119
O  0.0100  0.4992  0.7119
O  0.0712  0.7291  0.7385
O  0.0712  0.7709  0.2385
O  0.1351  0.5968  0.9916
O  0.1351  0.9032  0.4916
O  0.3296  0.6149  0.5188
O  0.3296  0.8851  0.0188
O  0.3382  0.5742  0.8099
O  0.3382  0.9258  0.3099
O  0.3655  0.0826  0.7595
O  0.3655  0.4174  0.2595
O  0.4586  0.7209  0.2400
O  0.4586  0.7791  0.7400
O  0.5414  0.2209  0.2600
O  0.5414  0.2791  0.7600
O  0.6345  0.5826  0.7405
O  0.6345  0.9174  0.2405
O  0.6618  0.0742  0.6901
O  0.6618  0.4258  0.1901
O  0.6704  0.1149  0.9812
O  0.6704  0.3851  0.4812
O  0.8649  0.0968  0.5084
O  0.8649  0.4032  0.0084
O  0.9288  0.2291  0.7615
O  0.9288  0.2709  0.2615
O  0.9900  0.5008  0.2881
O  0.9900  0.9992  0.7881

Summary:
For the total moment, the calculation gives 0.00 μB per formula unit. The value obtained for the energy relative to the elements, uncorrected is -30.030 eV per formula unit. Its crystal system is monoclinic. The density of states at the Fermi level is 0.0 states/eV/cell.

---

No. 4
A plane-wave DFT calculation with GGA-PBEsol was carried out for a relaxed structure of HfNbTc2.

Cell: 4.5047 4.5047 4.5047 Å, 60.00 60.00 60.00°
Positions (direct):
Hf  0.0000  0.0000  0.0000
Nb  0.5000  0.5000  0.5000
Tc  0.2500  0.2500  0.2500
Tc  0.7500  0.7500  0.7500

Summary:
For the total moment, the calculation gives 0.00 μB per formula unit. The formation energy comes out at -0.411 eV/atom. Its crystal system is cubic. The density of states at the Fermi level is 3.1 states/eV/cell.

---

Here are the calculated total DFT energy (no corrections) numbers, same order: -0.5093; -0.4064; -0.5639; -0.8360 (Ry per atom).